Compound: YRuCl
Source: Alexandria
Functional: PBE
Structure: optimized geometry

The value obtained for the formation energy from raw total energies is -0.2734 eV/atom. For the density of states at the Fermi level, the calculation gives 6.71 states/eV/cell.

Cell lengths 3.195, 3.195, 13.449 Å; angles 90.00, 90.00, 90.00 degrees
Space group I4mm (No. 107)
Asymmetric unit:
Y 0.000 0.000 0.000 x2
Ru 0.000 0.000 0.639 x2
Cl 0.000 0.000 0.364 x2



Compound: YRuCl2
Source: Alexandria
Functional: PBE
Structure: optimized geometry

The value obtained for the formation energy from raw total energies is -0.7261 eV/atom. For the density of states at the Fermi level, the calculation gives 5.37 states/eV/cell. The energy relative to the lowest polymorph listed for this composition comes out at 112.9 meV/atom.

Cell lengths 3.807, 4.220, 13.026 Å; angles 90.00, 90.00, 90.00 degrees
Space group Immm (No. 71)
Asymmetric unit:
Y 0.000 0.000 0.000 x2
Ru 0.000 0.000 0.500 x2
Cl 0.000 0.500 0.139 x4



Compound: Y2RuCl
Source: Alexandria
Functional: PBE
Structure: optimized geometry

The value obtained for the formation energy from raw total energies is -0.3791 eV/atom. For the density of states at the Fermi level, the calculation gives 10.41 states/eV/cell. The energy relative to the lowest polymorph listed for this composition comes out at 571.7 meV/atom.

Cell lengths 6.124, 6.124, 12.929 Å; angles 90.00, 90.00, 90.00 degrees
Space group I-42d (No. 122)
Asymmetric unit:
Y 0.217 0.250 0.125 x8
Ru 0.000 0.000 0.000 x4
Cl 0.000 0.000 0.500 x4



Compound: YRuCl2
Source: Alexandria
Functional: PBE
Structure: optimized geometry

The value obtained for the formation energy from raw total energies is -0.0690 eV/atom. For the density of states at the Fermi level, the calculation gives 16.48 states/eV/cell. The energy relative to the lowest polymorph listed for this composition comes out at 770.0 meV/atom.

Cell lengths 3.7330, 3.7330, 23.1341 Å; angles 90.00, 90.00, 120.00 degrees
Space group R-3m (No. 166, hexagonal axes)
Asymmetric unit:
Y 0.0000 0.0000 0.0000 x3
Ru 0.0000 0.0000 0.5000 x3
Cl 0.0000 0.0000 0.1161 x6



Compound: YRuCl
Source: Alexandria
Functional: PBE
Structure: optimized geometry

The value obtained for the formation energy from raw total energies is -0.3332 eV/atom. For the density of states at the Fermi level, the calculation gives 4.72 states/eV/cell.

Cell lengths 3.4328, 3.4328, 6.8103 Å; angles 90.00, 90.00, 120.00 degrees
Space group P3m1 (No. 156)
Asymmetric unit:
Y 0.0000 0.0000 0.0000 x1
Ru 0.3333 0.6667 0.7127 x1
Cl 0.6667 0.3333 0.2837 x1



Compound: YRuCl2
Source: Alexandria
Functional: PBE
Structure: optimized geometry

The value obtained for the formation energy from raw total energies is -0.1553 eV/atom. For the density of states at the Fermi level, the calculation gives 15.27 states/eV/cell. The energy relative to the lowest polymorph listed for this composition comes out at 683.7 meV/atom.

Cell lengths 6.810, 6.810, 6.810 Å; angles 90.00, 90.00, 90.00 degrees
Space group F-43m (No. 216)
Asymmetric unit:
Y 0.000 0.000 0.000 x4
Ru 0.250 0.250 0.750 x4
Cl 0.000 0.000 0.500 x4
Cl 0.250 0.250 0.250 x4



Compound: Y2RuCl
Source: Alexandria
Functional: PBE
Structure: optimized geometry

The value obtained for the formation energy from raw total energies is -0.8262 eV/atom. For the density of states at the Fermi level, the calculation gives 8.51 states/eV/cell. The energy relative to the lowest polymorph listed for this composition comes out at 124.6 meV/atom.

Cell lengths 3.9488, 3.9488, 22.2434 Å; angles 90.00, 90.00, 120.00 degrees
Space group R-3m (No. 166, hexagonal axes)
Asymmetric unit:
Y 0.0000 0.0000 0.2347 x6
Ru 0.0000 0.0000 0.5000 x3
Cl 0.0000 0.0000 0.0000 x3



Compound: Y2RuCl
Source: Alexandria
Functional: PBE
Structure: optimized geometry

The value obtained for the formation energy from raw total energies is -0.6150 eV/atom. For the density of states at the Fermi level, the calculation gives 4.91 states/eV/cell. The energy relative to the lowest polymorph listed for this composition comes out at 335.9 meV/atom.

Cell lengths 7.560, 7.437, 3.331 Å; angles 90.00, 108.06, 90.00 degrees
Space group C2/m (No. 12)
Asymmetric unit:
Y 0.250 0.250 0.000 x4
Ru 0.000 0.000 0.500 x2
Cl 0.000 0.500 0.500 x2